This record from OQMD describes ZnCoTeO after structural relaxation. The functional is GGA+U.

a b c (Å): 5.8478 8.1030 5.5486
angles (deg): 90.00 90.00 90.00
Positions (direct):
Te 0.5412 0.6609 0.6250
O 0.5313 0.0672 0.6277
Te 0.4588 0.3391 0.1250
Zn 0.4158 0.6850 0.1200
O 0.0313 0.9328 0.6277
Te 0.0412 0.3391 0.6250
O 0.4687 0.9328 0.1277
Co 0.7494 0.9481 0.3773
Te 0.9588 0.6609 0.1250
Co 0.2506 0.0519 0.8773
Zn 0.9158 0.3150 0.1200
Co 0.2494 0.0519 0.3773
O 0.9687 0.0672 0.1277
Co 0.7506 0.9481 0.8773
Zn 0.0842 0.6850 0.6200
Zn 0.5842 0.3150 0.6200

* space group: Pca2_1 (29)
* calculated total energy: -4.11 eV/atom
* relative energy among the computed polymorphs: 16 kJ/mol of formula units

This record from OQMD describes ZnCoTeO after structural relaxation. The functional is GGA+U.

a b c (Å): 3.7887 3.7887 10.1932
angles (deg): 90.00 90.00 90.00
Positions (direct):
Co 0.0000 0.5000 0.0923
Co 0.5000 0.0000 0.9077
Zn 0.0000 0.5000 0.5609
O 0.5000 0.5000 0.5000
Te 0.0000 0.5000 0.8330
O 0.0000 0.0000 0.5000
Zn 0.5000 0.0000 0.4391
Te 0.5000 0.0000 0.1670

* space group: P4/nmm (129)
* calculated total energy: -3.87 eV/atom
* relative energy among the computed polymorphs: 108 kJ/mol of formula units